Record 1
SrNiRh2 | PBE-GGA | relaxed

a = 4.155 Å, b = 4.076 Å, c = 4.076 Å
α = 90.00°, β = 90.00°, γ = 90.00°
Positions (direct):
Rh 0.000 0.000 0.000
Rh 0.000 0.500 0.500
Sr 0.500 0.500 0.000
Ni 0.500 0.000 0.500

The density comes out at 8472 kg/m3. The space group is P4/mmm, No. 123. Its crystal system is tetragonal. The energy above the most stable polymorph in this dataset comes out at 1.49 eV/f.u. As for the total energy: -5.25 eV per atom.


Record 2
TbDy6ErSc2 | PBE-GGA | relaxed

a = 9.335 Å, b = 8.605 Å, c = 8.605 Å
α = 117.44°, β = 93.57°, γ = 93.57°
Positions (direct):
Dy 0.054 0.118 0.758
Dy 0.181 0.561 0.016
Dy 0.554 0.758 0.118
Dy 0.883 0.297 0.506
Dy 0.383 0.506 0.297
Dy 0.446 0.242 0.882
Dy 0.819 0.439 0.984
Dy 0.681 0.016 0.561
Dy 0.617 0.494 0.703
Dy 0.319 0.984 0.439
Dy 0.946 0.882 0.242
Dy 0.117 0.703 0.494
Er 0.750 0.592 0.408
Er 0.250 0.408 0.592
Sc 0.048 0.304 0.198
Sc 0.548 0.198 0.304
Sc 0.452 0.802 0.696
Sc 0.952 0.696 0.802
Tb 0.250 0.972 0.028
Tb 0.750 0.028 0.972

The density comes out at 7585 kg/m3. The space group is C2/c, No. 15. Its crystal system is monoclinic. As for the total energy: -4.82 eV per atom.


Record 3
Tm8Ga3CS3 | PBE-GGA | relaxed

a = 7.510 Å, b = 7.518 Å, c = 8.324 Å
α = 116.90°, β = 90.00°, γ = 119.96°
Positions (direct):
Tm 0.768 0.988 0.708
Tm 0.220 0.440 0.708
Tm 0.743 0.487 0.729
Tm 0.232 0.012 0.292
Tm 0.220 0.988 0.708
Tm 0.257 0.513 0.271
Tm 0.780 0.012 0.292
Tm 0.780 0.560 0.292
C 0.000 0.000 0.500
Ga 0.500 0.500 0.000
Ga 0.000 0.500 0.000
Ga 0.000 0.000 0.000
S 0.000 0.500 0.500
S 0.500 0.500 0.500
S 0.500 0.000 0.500

The density comes out at 7980 kg/m3. The space group is C2/m, No. 12. Its crystal system is monoclinic. As for the total energy: -5.47 eV per atom.


Record 4
LiCe2PuAu4 | PBE-GGA | relaxed

a = 5.115 Å, b = 5.115 Å, c = 8.754 Å
α = 73.01°, β = 73.01°, γ = 60.00°
Positions (direct):
Au 0.621 0.621 0.137
Au 0.875 0.875 0.375
Au 0.125 0.125 0.625
Au 0.379 0.379 0.863
Ce 0.752 0.752 0.743
Ce 0.248 0.248 0.257
Pu 0.000 0.000 0.000
Li 0.500 0.500 0.500

The density comes out at 11728 kg/m3. The space group is R-3m, No. 166. Its crystal system is trigonal. As for the total energy: -5.69 eV per atom.


Record 5
TbNd4Tl7 | PBE-GGA | relaxed

a = 5.742 Å, b = 10.260 Å, c = 7.380 Å
α = 82.12°, β = 67.11°, γ = 73.75°
Positions (direct):
Nd 0.588 0.218 0.606
Nd 0.272 0.332 0.124
Nd 0.412 0.782 0.394
Nd 0.728 0.668 0.876
Tl 0.217 0.099 0.467
Tl 0.083 0.683 0.152
Tl 0.917 0.317 0.848
Tl 0.500 0.000 0.000
Tl 0.630 0.464 0.275
Tl 0.783 0.901 0.533
Tl 0.370 0.536 0.725
Tb 0.000 0.000 0.000

The density comes out at 9360 kg/m3. The space group is C2/m, No. 12. Its crystal system is monoclinic. As for the total energy: -3.52 eV per atom.


Record 6
SrLa2Nd3Se6 | PBE-GGA | relaxed

a = 7.425 Å, b = 7.425 Å, c = 7.428 Å
α = 99.57°, β = 99.57°, γ = 120.08°
Positions (direct):
Nd 0.165 0.835 0.500
Nd 0.835 0.165 0.500
Nd 0.500 0.500 0.500
Se 0.915 0.581 0.744
Se 0.751 0.751 0.253
Se 0.419 0.085 0.256
Se 0.249 0.249 0.747
Se 0.581 0.915 0.744
Se 0.085 0.419 0.256
La 0.334 0.666 0.000
La 0.666 0.334 0.000
Sr 0.000 0.000 0.000

The density comes out at 6320 kg/m3. The space group is C2/m, No. 12. Its crystal system is monoclinic. As for the total energy: -5.81 eV per atom.


Repeat the third record exactly.
Tm8Ga3CS3 | PBE-GGA | relaxed

a = 7.510 Å, b = 7.518 Å, c = 8.324 Å
α = 116.90°, β = 90.00°, γ = 119.96°
Positions (direct):
Tm 0.768 0.988 0.708
Tm 0.220 0.440 0.708
Tm 0.743 0.487 0.729
Tm 0.232 0.012 0.292
Tm 0.220 0.988 0.708
Tm 0.257 0.513 0.271
Tm 0.780 0.012 0.292
Tm 0.780 0.560 0.292
C 0.000 0.000 0.500
Ga 0.500 0.500 0.000
Ga 0.000 0.500 0.000
Ga 0.000 0.000 0.000
S 0.000 0.500 0.500
S 0.500 0.500 0.500
S 0.500 0.000 0.500

The density comes out at 7980 kg/m3. The space group is C2/m, No. 12. Its crystal system is monoclinic. As for the total energy: -5.47 eV per atom.